VASP calculation (PBE+U) on a relaxed NiAgW2F crystal.

Structure (extended XYZ):
```
5
Lattice="5.144 0.000 0.000 0.000 3.851 0.000 0.000 0.000 5.144" Properties=species:S:1:pos:R:3 pbc="T T T"
Ag 2.572 1.925 2.572
W 2.572 0.000 0.000
Ni 0.000 0.000 0.000
W 0.000 0.000 2.572
F 0.000 1.925 0.000
```

Its total magnetization is 7.94 μB/f.u. The value obtained for the density of states at the Fermi level is 0.285 states/eV per atom. The raw total energy comes out at -3.18 eV per atom. Its space-group type is P4/mmm, No. 123.